# Nd2ZnCu12Ni3

A geometry-optimized Nd2ZnCu12Ni3 structure (PBE, Alexandria via LeMat-Bulk).

Structure (POSCAR):
```
Nd2ZnCu12Ni3
1.0
-2.072 1.895 -5.772
4.506 -2.986 -3.460
-3.423 -5.256 -1.359
Ni Cu Nd Zn
3 12 2 1
Direct
0.500 0.000 0.000
0.000 0.000 0.500
0.000 0.500 0.000
0.199 0.199 0.726
0.726 0.199 0.199
0.274 0.801 0.801
0.425 0.845 0.425
0.155 0.575 0.575
0.425 0.425 0.845
0.801 0.274 0.801
0.801 0.801 0.274
0.199 0.726 0.199
0.575 0.155 0.575
0.575 0.575 0.155
0.845 0.425 0.425
0.253 0.253 0.253
0.747 0.747 0.747
0.000 0.000 0.000
```

Properties
Its symmetry is No. 166. Its formation energy is 1.08 kcal/mol of atoms.

***

# NbBi4BrO8

A geometry-optimized NbBi4BrO8 structure (PBE, Alexandria via LeMat-Bulk).

Structure (POSCAR):
```
NbBi4BrO8
1.0
-0.848 5.288 1.546
-3.248 0.810 -4.552
-23.958 -8.403 15.598
O Br Bi Nb
32 4 16 4
Direct
0.751 0.992 0.890
0.251 0.492 0.610
0.605 0.332 0.687
0.105 0.832 0.813
0.247 0.054 0.733
0.742 0.492 0.890
0.605 0.168 0.187
0.247 0.446 0.233
0.751 0.508 0.390
0.888 0.831 0.687
0.746 0.998 0.108
0.746 0.002 0.608
0.246 0.998 0.392
0.246 0.498 0.392
0.242 0.992 0.610
0.746 0.498 0.108
0.747 0.946 0.267
0.388 0.169 0.313
0.388 0.331 0.813
0.888 0.669 0.187
0.247 0.946 0.233
0.747 0.554 0.767
0.251 0.008 0.110
0.242 0.508 0.110
0.747 0.054 0.767
0.746 0.502 0.608
0.246 0.002 0.892
0.105 0.668 0.313
0.246 0.502 0.892
0.247 0.554 0.733
0.747 0.446 0.267
0.742 0.008 0.390
0.996 0.250 0.000
0.996 0.250 0.500
0.496 0.750 0.000
0.496 0.750 0.500
0.987 0.740 0.928
0.518 0.804 0.159
0.018 0.304 0.341
0.975 0.304 0.159
0.506 0.260 0.428
0.475 0.804 0.341
0.975 0.196 0.659
0.006 0.760 0.072
0.987 0.760 0.428
0.487 0.260 0.072
0.475 0.696 0.841
0.518 0.696 0.659
0.018 0.196 0.841
0.006 0.740 0.572
0.506 0.240 0.928
0.487 0.240 0.572
0.997 0.739 0.250
0.997 0.761 0.750
0.497 0.261 0.750
0.497 0.239 0.250
```

Properties
Its symmetry is No. 33. For the uncorrected formation energy, the calculation gives -1583 meV per atom.

***

# NpTlSe2O8

A geometry-optimized NpTlSe2O8 structure (PBE, Alexandria via LeMat-Bulk).

Structure (POSCAR):
```
NpTlSe2O8
1.0
-0.874 -1.000 -6.129
5.812 0.199 2.347
-0.253 -7.543 1.266
O Se Np Tl
8 2 1 1
Direct
0.849 0.151 0.158
0.699 0.849 0.842
0.667 0.333 0.406
0.333 0.667 0.594
0.301 0.151 0.158
0.151 0.301 0.842
0.151 0.849 0.842
0.849 0.699 0.158
0.333 0.667 0.807
0.667 0.333 0.193
0.000 0.000 0.000
0.000 0.000 0.500
```

Properties
Its symmetry is No. 164. For the uncorrected formation energy, the calculation gives -1257 meV per atom.

***

Calculated energy, -4.248; -6.364; -6.419 eV per atom (same order as the records).